1.
VASP calculation (PBE-GGA) on a relaxed LiHoTlPt crystal.

a b c (Å): 4.817 4.817 4.817
angles (deg): 60.00 60.00 60.00
Element x y z (fractional)
Li: 0.250 0.250 0.250
Pt: 0.750 0.750 0.750
Tl: 0.500 0.500 0.500
Ho: 0.000 0.000 0.000

* DOS at the Fermi energy: 1.057 states/eV/atom
* spin magnetization: 0.00 μB/f.u.
* energy of formation: -626 meV per atom

***

2.
VASP calculation (PBE-GGA) on a relaxed LiHoTmPt crystal.

a b c (Å): 4.930 4.930 4.930
angles (deg): 60.00 60.00 60.00
Element x y z (fractional)
Ho: 0.250 0.250 0.250
Pt: 0.000 0.000 0.000
Tm: 0.750 0.750 0.750
Li: 0.500 0.500 0.500

* DOS at the Fermi energy: 0.787 states/eV/atom
* spin magnetization: 0.00 μB/f.u.
* energy of formation: -703 meV per atom

***

3.
VASP calculation (PBE-GGA) on a relaxed LiHoTm2Pt4 crystal.

a b c (Å): 4.796 4.796 8.263
angles (deg): 73.13 73.13 60.00
Element x y z (fractional)
Tm: 0.243 0.243 0.271
Tm: 0.757 0.757 0.729
Li: 0.500 0.500 0.500
Ho: 0.000 0.000 0.000
Pt: 0.374 0.374 0.877
Pt: 0.878 0.878 0.367
Pt: 0.626 0.626 0.123
Pt: 0.122 0.122 0.633

* DOS at the Fermi energy: 0.513 states/eV/atom
* spin magnetization: 0.00 μB/f.u.
* energy of formation: -1123 meV per atom